12
Lattice="5.167 -4.101 0.000 5.167 4.101 0.000 0.000 0.000 5.686" Properties=species:S:1:pos:R:3 comment="PBE BaZn3Ir2, relaxed" dos_ef_per_ev_cell=9.6 spacegroup="Cmcm, No. 63" energy_ev_per_atom=-4.19 pbc="T T T"
Ba 5.167 2.781 4.265
Ba 5.167 -2.781 1.422
Zn 3.077 2.192 1.422
Zn 7.257 2.192 1.422
Zn 5.167 0.466 1.422
Zn 5.167 -0.466 4.265
Zn 3.077 -2.192 4.265
Zn 7.257 -2.192 4.265
Ir 3.055 0.000 0.000
Ir 3.055 0.000 2.843
Ir 7.278 0.000 0.000
Ir 7.278 0.000 2.843